6
Lattice="0.0000 3.7636 3.7636 3.7636 0.0000 3.7636 3.7636 3.7636 0.0000" Properties=species:S:1:pos:R:3 comment="GGA-PBE CeNdCu4, relaxed" e_above_lowest_polymorph_ev_per_atom=0.075 m_tot_mub_per_atom=0.16 formation_enthalpy_0k_ev_per_fu=-0.39 pbc="T T T"
Ce 0.0000 0.0000 0.0000
Nd 5.6455 5.6455 5.6455
Cu 2.8234 2.8234 2.8234
Cu 4.7039 4.7039 2.8234
Cu 4.7039 2.8234 4.7039
Cu 2.8234 4.7039 4.7039